Li2ZrTe | GGA-PBE | relaxed

Cell and atoms, written as CIF:
```
data_Li2ZrTe
_chemical_formula_sum 'Li2 Zr1 Te1'
_cell_length_a 4.839
_cell_length_b 4.839
_cell_length_c 4.839
_cell_angle_alpha 60.00
_cell_angle_beta 60.00
_cell_angle_gamma 60.00
_space_group_name_H-M_alt 'P 1'
_space_group_IT_number 1
loop_
_space_group_symop_operation_xyz
'x,y,z'
loop_
_atom_site_label
_atom_site_type_symbol
_atom_site_fract_x
_atom_site_fract_y
_atom_site_fract_z
_atom_site_occupancy
Li1 Li 0.750 0.750 0.750 1
Li2 Li 0.000 0.000 0.000 1
Te1 Te 0.500 0.500 0.500 1
Zr1 Zr 0.250 0.250 0.250 1
```

Calculated values
* raw total energy: -16.0 eV/cell